ZrGe3Bi: relaxed, PBE-GGA.

Output
For the energy relative to the lowest polymorph listed for this composition, the calculation gives 820 meV/atom.

Cell and atoms, written as POSCAR:
```
ZrGe3Bi
1.0
5.338 0.000 0.000
0.000 5.338 0.000
0.000 0.000 5.338
Zr Ge Bi
1 3 1
Direct
0.000 0.000 0.000
0.000 0.500 0.500
0.500 0.000 0.500
0.500 0.500 0.000
0.500 0.500 0.500
```

***

BaBePb2: relaxed, PBE-GGA.

Output
Its energy is -2.97 eV/atom.

Cell and atoms, written as POSCAR:
```
BaBePb2
1.0
-2.494 2.494 4.961
2.494 -2.494 4.961
2.494 2.494 -4.961
Ba Be Pb
1 1 2
Direct
0.000 0.000 0.000
0.500 0.500 0.000
0.250 0.750 0.500
0.750 0.250 0.500
```

***

Co2TcP2: relaxed, PBE-GGA.

Output
Its energy is -7.38 eV/atom.

Cell and atoms, written as POSCAR:
```
Co2TcP2
1.0
6.417 0.000 0.000
0.000 6.417 0.000
0.000 0.000 2.801
Co Tc P
4 2 4
Direct
0.140 0.360 0.000
0.360 0.860 0.000
0.640 0.140 0.000
0.860 0.640 0.000
0.000 0.000 0.500
0.500 0.500 0.500
0.152 0.652 0.500
0.348 0.152 0.500
0.652 0.848 0.500
0.848 0.348 0.500
```